Here is a relaxed structure of Rb2CuBr5 from Alexandria. Energies are from PBE-GGA.

The structure in extended XYZ format:
```
8
Lattice="5.289 0.000 0.000 0.000 7.274 0.000 0.000 0.000 7.274" Properties=species:S:1:pos:R:3 pbc="T T T"
Br 0.000 1.764 1.764
Br 0.000 5.510 1.764
Br 0.000 5.510 5.510
Br 0.000 1.764 5.510
Br 2.645 0.000 0.000
Cu 0.000 0.000 0.000
Rb 2.645 0.000 3.637
Rb 2.645 3.637 0.000
```

Computed properties:
The calculation puts the total energy at -22.02 eV per cell. The offset from the most stable computed form is 30.6 meV per atom. For the uncorrected formation energy, the calculation gives -952 meV/atom. The calculated volume comes out at 34.98 Å³/atom.

=====

Here is a relaxed structure of Nd5YEr6 from Alexandria. Energies are from PBE-GGA.

The structure in extended XYZ format:
```
12
Lattice="-4.246 -2.144 -10.788 -2.038 -5.829 0.769 -5.832 -1.031 1.905" Properties=species:S:1:pos:R:3 pbc="T T T"
Er -5.303 -2.438 -7.399
Er -4.193 -4.278 -1.606
Er -1.570 -1.994 -2.500
Er -7.924 -4.725 -6.508
Er -6.814 -6.566 -0.716
Er -4.715 -5.979 -7.519
Nd -5.249 -4.572 1.783
Nd -5.767 -6.273 -4.118
Nd -6.350 -2.731 -3.996
Nd -2.621 -2.287 0.890
Nd -3.142 -3.986 -5.010
Y 0.000 0.000 0.000
```

Computed properties:
The calculation puts the total energy at -57.49 eV per cell. The offset from the most stable computed form is 0.0 meV per atom. The energy of formation comes out at 0.016 eV/atom. The calculated volume comes out at 32.43 Å³/atom.

=====

Q: The highest offset from the most stable computed form belongs to which entry?
A: Rb2CuBr5

=====

Q: Which of these has the highest calculated volume?
A: Rb2CuBr5